Material: Ce2TaC
Method: DFT, PBE
State: relaxed

a = 3.2630 Å, b = 3.2630 Å, c = 26.5074 Å
α = 90.00°, β = 90.00°, γ = 120.00°
Space group R-3m (No. 166, hexagonal axes)
One atom of each set of equivalent atoms:
Ce 0.0000 0.0000 0.1090 (multiplicity 6)
Ta 0.0000 0.0000 0.0000 (multiplicity 3)
C 0.0000 0.0000 0.5000 (multiplicity 3)

Summary:
The value obtained for the formation energy is 9.74 kcal/mol of atoms. The calculation puts the volume at 244.4 Å³ per cell.